Nd3TlF | PBE | optimized geometry

Computed properties:
Total DFT energy (no corrections), eV/atom: -4.78
Symmetry: Pm-3m, No. 221
Density of states at the Fermi level, states/eV/f.u.: 4.15
Calculated volume, Å³ per cell: 129.20
M_tot, Bohr magnetons per cell: 0.0

a = 5.0553 Å, b = 5.0553 Å, c = 5.0553 Å
α = 90.00°, β = 90.00°, γ = 90.00°
Fractional positions:
Nd: 0.0000 0.0000 0.5000
Nd: 0.0000 0.5000 0.0000
Nd: 0.5000 0.0000 0.0000
F: 0.0000 0.0000 0.0000
Tl: 0.5000 0.5000 0.5000